Entry 1:
Mn2CoNi | PBE | relaxed

It has space group R3m (No. 160, hexagonal axes), with a = 2.4725 Å, b = 2.4725 Å, c = 24.4781 Å, α = 90.00°, β = 90.00° and γ = 120.00°. The asymmetric unit holds Mn at (0.0000, 0.0000, 0.0000), Mn at (0.0000, 0.0000, 0.2536), Co at (0.0000, 0.0000, 0.5028) and Ni at (0.0000, 0.0000, 0.7519).

The calculation puts the energy relative to the lowest polymorph listed for this composition at 0.112 eV/atom. The calculation puts the electronic total energy at -0.5692 Ry per atom. The value obtained for the mass density is 8.746 g cm⁻³.

***

Entry 2:
Mn2CoNi | PBE | relaxed

It has space group Cmmm (No. 65), with a = 4.9509 Å, b = 7.0522 Å, c = 2.4832 Å, α = 90.00°, β = 90.00° and γ = 90.00°. The asymmetric unit holds Mn at (0.2500, 0.2500, 0.0000), Co at (0.0000, 0.0000, 0.5000) and Ni at (0.0000, 0.5000, 0.5000).

The calculation puts the energy relative to the lowest polymorph listed for this composition at 0.121 eV/atom. The calculation puts the electronic total energy at -0.5685 Ry per atom. The value obtained for the mass density is 8.715 g cm⁻³.

***

Entry 3:
MnCoNi3 | PBE | relaxed

It has space group Imma (No. 74), with a = 4.6538 Å, b = 6.4387 Å, c = 8.2961 Å, α = 90.00°, β = 90.00° and γ = 90.00°. The asymmetric unit holds Mn at (0.0000, 0.2500, 0.0036), Co at (0.0000, 0.0000, 0.5000), Ni at (0.0000, 0.2500, 0.3009) and Ni at (0.2500, 0.0699, 0.7500).

The calculation puts the energy relative to the lowest polymorph listed for this composition at 0.000 eV/atom. The calculation puts the electronic total energy at -0.4775 Ry per atom. The value obtained for the mass density is 7.747 g cm⁻³.

***

Entry 4:
Mn2CoNi | PBE | relaxed

It has space group P4/mmm (No. 123), with a = 2.4816 Å, b = 2.4816 Å, c = 7.0802 Å, α = 90.00°, β = 90.00° and γ = 90.00°. The asymmetric unit holds Mn at (0.0000, 0.0000, 0.2450), Co at (0.5000, 0.5000, 0.0000) and Ni at (0.5000, 0.5000, 0.5000).

The calculation puts the energy relative to the lowest polymorph listed for this composition at 0.113 eV/atom. The calculation puts the electronic total energy at -0.5691 Ry per atom. The value obtained for the mass density is 8.664 g cm⁻³.

***

Entry 5:
MnCoNi6 | PBE | relaxed

It has space group Cmmm (No. 65), with a = 7.0946 Å, b = 10.0341 Å, c = 10.0408 Å, α = 90.00°, β = 90.00° and γ = 90.00°. The asymmetric unit holds Mn at (0.0000, 0.0000, 0.2498), Mn at (0.0000, 0.2478, 0.0000), Co at (0.0000, 0.2461, 0.5000), Co at (0.0000, 0.5000, 0.2502), Ni at (0.0000, 0.0000, 0.0000), Ni at (0.0000, 0.0000, 0.5000), Ni at (0.0000, 0.2519, 0.2537), Ni at (0.0000, 0.5000, 0.0000), Ni at (0.0000, 0.5000, 0.5000), Ni at (0.2470, 0.3740, 0.3764) and Ni at (0.2465, 0.3758, 0.1269).

The calculation puts the energy relative to the lowest polymorph listed for this composition at 0.000 eV/atom. The calculation puts the electronic total energy at -0.4717 Ry per atom. The value obtained for the mass density is 8.661 g cm⁻³.

***

Entry 6:
Mn4Co2Ni | PBE | relaxed

It has space group Fmmm (No. 69), with a = 4.4250 Å, b = 8.4094 Å, c = 8.4520 Å, α = 90.00°, β = 90.00° and γ = 90.00°. The asymmetric unit holds Mn at (0.0000, 0.0000, 0.1928), Mn at (0.2500, 0.2500, 0.2500), Co at (0.0000, 0.1961, 0.0000) and Ni at (0.0000, 0.0000, 0.5000).

The calculation puts the electronic total energy at -0.5740 Ry per atom. The value obtained for the mass density is 8.370 g cm⁻³.

***

Entry 7:
Mn2CoNi | PBE | relaxed

It has space group Pmmm (No. 47), with a = 2.4775 Å, b = 3.5392 Å, c = 4.9503 Å, α = 90.00°, β = 90.00° and γ = 90.00°. The asymmetric unit holds Mn at (0.0000, 0.0000, 0.2461), Co at (0.5000, 0.5000, 0.0000) and Ni at (0.5000, 0.5000, 0.5000).

The calculation puts the energy relative to the lowest polymorph listed for this composition at 0.117 eV/atom. The calculation puts the electronic total energy at -0.5688 Ry per atom. The value obtained for the mass density is 8.703 g cm⁻³.

***

Entry 8:
MnCo2Ni | PBE | relaxed

It has space group Pmm2 (No. 25), with a = 2.5583 Å, b = 3.4884 Å, c = 5.0955 Å, α = 90.00°, β = 90.00° and γ = 90.00°. The asymmetric unit holds Mn at (0.0000, 0.0000, 0.0000), Co at (0.0000, 0.0000, 0.5054), Co at (0.5000, 0.5000, 0.7349) and Ni at (0.5000, 0.5000, 0.2481).

The calculation puts the electronic total energy at -0.5312 Ry per atom. The value obtained for the mass density is 8.453 g cm⁻³.

***

Entry 9:
MnCo2Ni | PBE | relaxed

It has space group Fm-3m (No. 225), with a = 5.6894 Å, b = 5.6894 Å, c = 5.6894 Å, α = 90.00°, β = 90.00° and γ = 90.00°. The asymmetric unit holds Mn at (0.0000, 0.0000, 0.0000), Co at (0.2500, 0.2500, 0.2500) and Ni at (0.0000, 0.0000, 0.5000).

The calculation puts the electronic total energy at -0.5268 Ry per atom. The value obtained for the mass density is 8.349 g cm⁻³.

***

Entry 10:
MnCoNi6 | PBE | relaxed

It has space group C2/m (No. 12), with a = 7.0659 Å, b = 4.7070 Å, c = 6.3990 Å, α = 90.00°, β = 108.51° and γ = 90.00°. The asymmetric unit holds Mn at (0.0000, 0.0000, 0.0000), Co at (0.0000, 0.5000, 0.5000), Ni at (0.1383, 0.0000, 0.4322) and Ni at (0.1997, 0.2412, 0.7995).

The calculation puts the energy relative to the lowest polymorph listed for this composition at 0.348 eV/atom. The calculation puts the electronic total energy at -0.4461 Ry per atom. The value obtained for the mass density is 7.669 g cm⁻³.

***

Entry 11:
Mn6Co5Ni | PBE | relaxed

It has space group Immm (No. 71), with a = 4.0595 Å, b = 5.7257 Å, c = 12.1867 Å, α = 90.00°, β = 90.00° and γ = 90.00°. The asymmetric unit holds Mn at (0.0000, 0.2464, 0.0000), Mn at (0.0000, 0.2519, 0.3318), Co at (0.0000, 0.0000, 0.1666), Co at (0.0000, 0.5000, 0.1652), Co at (0.0000, 0.5000, 0.5000) and Ni at (0.0000, 0.0000, 0.5000).

The calculation puts the electronic total energy at -0.5904 Ry per atom. The value obtained for the mass density is 8.008 g cm⁻³.

***

Entry 12:
Mn2CoNi | PBE | relaxed

It has space group R-3m (No. 166, hexagonal axes), with a = 2.4638 Å, b = 2.4638 Å, c = 24.6179 Å, α = 90.00°, β = 90.00° and γ = 120.00°. The asymmetric unit holds Mn at (0.0000, 0.0000, 0.2490), Co at (0.0000, 0.0000, 0.5000) and Ni at (0.0000, 0.0000, 0.0000).

The calculation puts the energy relative to the lowest polymorph listed for this composition at 0.165 eV/atom. The calculation puts the electronic total energy at -0.5653 Ry per atom. The value obtained for the mass density is 8.757 g cm⁻³.

***

Entry 13:
Mn2CoNi | PBE | relaxed

It has space group Cmmm (No. 65), with a = 2.8151 Å, b = 4.0631 Å, c = 8.0035 Å, α = 90.00°, β = 90.00° and γ = 90.00°. The asymmetric unit holds Mn at (0.0000, 0.0000, 0.2494), Co at (0.0000, 0.5000, 0.0000) and Ni at (0.0000, 0.5000, 0.5000).

The calculation puts the energy relative to the lowest polymorph listed for this composition at 0.197 eV/atom. The calculation puts the electronic total energy at -0.5630 Ry per atom. The value obtained for the mass density is 8.253 g cm⁻³.